[1]
DFT (PBE) results for a relaxed structure of PmTmBi2.

* energy: -4.846 eV/atom
* energy relative to the elements: -2.40 eV per formula unit
* crystal system: cubic
* SG: No. 225

Lattice parameters (Å, degrees): 5.530 5.530 5.530 60.00 60.00 60.00
Sites, in units of the cell vectors:
1 Pm 0.000 0.000 0.000
2 Tm 0.500 0.500 0.500
3 Bi 0.250 0.250 0.250
4 Bi 0.750 0.750 0.750


[2]
DFT (PBE) results for a relaxed structure of Y4Ho2Th.

* energy: -6.039 eV/atom
* energy relative to the elements: 0.16 eV per formula unit
* crystal system: monoclinic
* SG: No. 8

Lattice parameters (Å, degrees): 3.602 3.602 20.153 95.14 95.14 60.02
Sites, in units of the cell vectors:
1 Y 0.000 0.000 0.000
2 Y 0.094 0.094 0.282
3 Y 0.521 0.521 0.567
4 Y 0.617 0.617 0.856
5 Ho 0.714 0.714 0.141
6 Ho 0.807 0.807 0.424
7 Th 0.902 0.902 0.712


[3]
DFT (PBE) results for a relaxed structure of Hf3Tl3NiTe8.

* energy: -5.016 eV/atom
* crystal system: trigonal
* uncorrected formation energy: -7.37 eV per formula unit
* SG: No. 166

Lattice parameters (Å, degrees): 9.654 9.654 9.654 50.11 50.11 50.11
Sites, in units of the cell vectors:
1 Hf 0.000 0.500 0.500
2 Hf 0.500 0.000 0.500
3 Hf 0.500 0.500 0.000
4 Tl 0.000 0.000 0.500
5 Tl 0.000 0.500 0.000
6 Tl 0.500 0.000 0.000
7 Ni 0.000 0.000 0.000
8 Te 0.223 0.223 0.744
9 Te 0.223 0.744 0.223
10 Te 0.256 0.777 0.777
11 Te 0.265 0.265 0.265
12 Te 0.735 0.735 0.735
13 Te 0.744 0.223 0.223
14 Te 0.777 0.256 0.777
15 Te 0.777 0.777 0.256


[4]
DFT (PBE) results for a relaxed structure of Tb6C2SI3.

* energy: -5.569 eV/atom
* crystal system: monoclinic
* uncorrected formation energy: -11.82 eV per formula unit
* SG: No. 12

Lattice parameters (Å, degrees): 6.723 6.723 7.759 98.31 98.31 120.02
Sites, in units of the cell vectors:
1 Tb 0.088 0.443 0.828
2 Tb 0.202 0.202 0.172
3 Tb 0.443 0.088 0.828
4 Tb 0.557 0.912 0.172
5 Tb 0.798 0.798 0.828
6 Tb 0.912 0.557 0.172
7 C 0.167 0.833 0.000
8 C 0.833 0.167 0.000
9 S 0.500 0.500 0.000
10 I 0.000 0.000 0.500
11 I 0.336 0.664 0.500
12 I 0.664 0.336 0.500


[5]
DFT (PBE) results for a relaxed structure of Ba2LiSiF.

* energy: -3.803 eV/atom
* crystal system: tetragonal
* uncorrected formation energy: -5.96 eV per formula unit
* SG: No. 123

Lattice parameters (Å, degrees): 5.555 5.555 4.362 90.00 90.00 90.00
Sites, in units of the cell vectors:
1 Ba 0.000 0.500 0.000
2 Ba 0.500 0.000 0.000
3 Li 0.000 0.000 0.500
4 Si 0.500 0.500 0.500
5 F 0.000 0.000 0.000


[6]
DFT (PBE) results for a relaxed structure of NaAl2Ga2.

* energy: -3.012 eV/atom
* energy relative to the elements: -0.20 eV per formula unit
* crystal system: tetragonal
* SG: No. 123

Lattice parameters (Å, degrees): 4.060 4.060 6.096 90.00 90.00 90.00
Sites, in units of the cell vectors:
1 Na 0.000 0.000 0.000
2 Al 0.000 0.500 0.500
3 Al 0.500 0.000 0.500
4 Ga 0.500 0.500 0.211
5 Ga 0.500 0.500 0.789